(1)
LaTe2Ru | the Alexandria database | meta-GGA SCAN | single point on PBEsol structure; space group = R-3m, No. 166; VASP energy = -38.3044 eV per atom; uncorrected formation energy = -196 meV/atom
1.0
-1.139 -1.671 3.053
2.402 -1.768 2.124
1.941 6.877 6.685
Ru La Te
1 1 2
Direct
0.500 0.500 0.500
0.000 0.000 0.000
0.112 0.112 0.665
0.888 0.888 0.335

(2)
LaTe2Ru | the Alexandria database | meta-GGA SCAN | single point on PBEsol structure; space group = Cmmm, No. 65; VASP energy = -38.4698 eV per atom; uncorrected formation energy = -361 meV/atom
1.0
3.640 0.077 0.000
-1.059 3.483 0.000
0.000 0.000 7.436
Te Ru La
2 1 1
Direct
0.000 0.000 0.211
0.000 0.000 0.789
0.500 0.500 0.000
0.500 0.500 0.500

(3)
LaTe2Ru | the Alexandria database | meta-GGA SCAN | single point on PBEsol structure; space group = Imm2, No. 44; VASP energy = -38.6200 eV per atom; uncorrected formation energy = -512 meV/atom
1.0
3.660 0.000 0.000
0.000 4.888 0.000
-1.830 -2.444 5.345
La Te Ru
1 2 1
Direct
0.518 0.518 0.037
0.954 0.954 0.907
0.745 0.245 0.490
0.283 0.783 0.566

(4)
LaTi2Ru2 | the Alexandria database | meta-GGA SCAN | single point on PBEsol structure; space group = I4/mmm, No. 139; VASP energy = -29.2613 eV per atom; formation enthalpy at 0 K = -0.298 eV/atom
1.0
4.358 0.000 0.000
0.000 4.358 0.000
-2.179 -2.179 5.100
Ti Ru La
2 2 1
Direct
0.362 0.362 0.723
0.638 0.638 0.277
0.750 0.250 0.500
0.250 0.750 0.500
0.000 0.000 0.000